A relaxed LaYRe2 crystal. Source: the Alexandria database, functional PBE-GGA.

Properties
The calculation puts the density at 12.32 Mg/m³. The calculation puts the formation energy at 640 meV/atom. The distance to the lowest polymorph of the same formula comes out at 544 meV/atom. The total magnetization is 0.0 μB/f.u. The total energy comes out at -33.7 eV/cell.

Lattice parameters (Å, degrees): 5.657 5.657 3.025 78.22 78.22 115.33
Positions (direct):
Re: 0.000 0.000 0.000
Re: 0.500 0.500 0.000
Y: 0.500 0.000 0.500
La: 0.000 0.500 0.500